## ZrCoPO2 (PBE+U)

Data for an optimized crystal structure of ZrCoPO2.

Unit cell a=4.0042 b=4.0042 c=5.6611 alpha=90.00 beta=90.00 gamma=90.00
Site moments in Bohr magnetons follow the coordinates.
Element x y z (fractional)
Zr 0.0000 0.0000 0.0000  -0.01
P 0.0000 0.0000 0.5000  -0.02
O 0.0000 0.5000 0.0000  0.09
O 0.5000 0.0000 0.0000  0.09
Co 0.5000 0.5000 0.5000  2.52

Calculated values
* uncorrected energy: -6.78 eV per atom
* energy above the most stable polymorph in this dataset: 0 meV per atom